An optimized crystal structure of Fe5O8F2. Source: Alexandria via LeMat-Bulk, functional PBE+U.

Unit cell a=4.663 b=7.594 c=9.814 alpha=70.21 beta=86.67 gamma=88.23
Fractional coordinates of all 30 atoms:
Fe: 0.000 0.000 0.000
Fe: 0.004 0.597 0.204
Fe: 0.011 0.198 0.406
Fe: 0.471 0.295 0.087
Fe: 0.475 0.092 0.691
Fe: 0.500 0.500 0.500
Fe: 0.525 0.908 0.309
Fe: 0.529 0.705 0.913
Fe: 0.989 0.802 0.594
Fe: 0.996 0.403 0.796
O: 0.177 0.238 0.968
O: 0.185 0.436 0.375
O: 0.189 0.028 0.579
O: 0.300 0.337 0.675
O: 0.304 0.142 0.273
O: 0.309 0.539 0.079
O: 0.309 0.938 0.881
O: 0.311 0.738 0.479
O: 0.689 0.262 0.521
O: 0.691 0.062 0.119
O: 0.691 0.461 0.921
O: 0.696 0.858 0.727
O: 0.700 0.663 0.325
O: 0.811 0.972 0.421
O: 0.815 0.564 0.625
O: 0.823 0.762 0.032
F: 0.199 0.641 0.781
F: 0.205 0.842 0.183
F: 0.795 0.158 0.817
F: 0.801 0.359 0.219

Space group = P-1, No. 2
Offset from the most stable computed form = 0.5 kJ per mole of atoms
VASP energy = -6.113 eV per atom